Crystalline In3GaAu4 at its relaxed geometry. Source: Alexandria, functional PBE.

The structure in CIF format:
```
data_In3GaAu4
_space_group_name_H-M_alt 'P 1'
_space_group_IT_number 1
_cell_length_a 6.402
_cell_length_b 7.778
_cell_length_c 7.561
_cell_angle_alpha 90.00
_cell_angle_beta 107.50
_cell_angle_gamma 90.00
loop_
_space_group_symop_operation_xyz
'x,y,z'
loop_
_atom_site_label
_atom_site_type_symbol
_atom_site_fract_x
_atom_site_fract_y
_atom_site_fract_z
In1 In 0.000 0.119 0.250
In2 In 0.000 0.377 0.750
In3 In 0.000 0.623 0.250
In4 In 0.000 0.881 0.750
In5 In 0.500 0.380 0.250
In6 In 0.500 0.620 0.750
Ga1 Ga 0.500 0.122 0.750
Ga2 Ga 0.500 0.878 0.250
Au1 Au 0.259 0.360 0.508
Au2 Au 0.259 0.640 0.008
Au3 Au 0.276 0.118 0.999
Au4 Au 0.276 0.882 0.499
Au5 Au 0.724 0.118 0.501
Au6 Au 0.724 0.882 0.001
Au7 Au 0.741 0.360 0.992
Au8 Au 0.741 0.640 0.492
```

Values from the calculation:
Raw total energy in eV per atom: -3.198
Energy of formation in eV per formula unit: -1.23
Size of the total moment in μB/f.u.: 0.00